## NaAs3W (PBE-GGA)

Data for an optimized crystal structure of NaAs3W.

The space group is Pm-3m (No. 221) and the conventional cell measures 4.962, 4.962 and 4.962 Å, with angles of 90.00, 90.00 and 90.00 degrees. The distinct sites, in fractional coordinates, are Na at (0.000, 0.000, 0.000), As at (0.000, 0.500, 0.500) and W at (0.500, 0.500, 0.500).

The value obtained for the density is 5.9 g/cm3. As for the relative energy among the computed polymorphs: 0.000 eV/atom. Its formation energy is 0.1908 eV per atom.